# 1
The following is a PBE-GGA calculation of crystalline CaMgSc2 at its relaxed geometry, from the Alexandria database.

The structure belongs to space group P4/mmm (No. 123); the cell edges are 4.690, 4.690 and 4.974 Å and the angles 90.00°, 90.00° and 90.00°. The distinct sites, in fractional coordinates, are Ca at (0.000, 0.000, 0.000), Mg at (0.500, 0.500, 0.000) and Sc at (0.000, 0.500, 0.500).

As for the magnetization: 0.17 μB per atom. The calculation puts the formation energy at 0.149 eV/atom.

---

# 2
The following is a PBE-GGA calculation of crystalline Ca2MgSc at its relaxed geometry, from the Alexandria database.

The structure belongs to space group P4/mmm (No. 123); the cell edges are 3.556, 3.556 and 9.996 Å and the angles 90.00°, 90.00° and 90.00°. The distinct sites, in fractional coordinates, are Ca at (0.000, 0.000, 0.243), Mg at (0.500, 0.500, 0.000) and Sc at (0.500, 0.500, 0.500).

As for the magnetization: 0.18 μB per atom. The calculation puts the formation energy at 0.112 eV/atom.

---

# 3
The following is a PBE-GGA calculation of crystalline CaMg4Sc at its relaxed geometry, from the Alexandria database.

The structure belongs to space group F-43m (No. 216); the cell edges are 8.506, 8.506 and 8.506 Å and the angles 90.00°, 90.00° and 90.00°. The distinct sites, in fractional coordinates, are Ca at (0.000, 0.000, 0.000), Mg at (0.124, 0.124, 0.376) and Sc at (0.250, 0.250, 0.750).

Its offset from the most stable computed form is 0 meV per atom. As for the magnetization: 0.00 μB per atom. The calculation puts the formation energy at -0.026 eV/atom.

---

# 4
The following is a PBE-GGA calculation of crystalline CaMgSc at its relaxed geometry, from the Alexandria database.

The structure belongs to space group I4mm (No. 107); the cell edges are 3.607, 3.607 and 13.205 Å and the angles 90.00°, 90.00° and 90.00°. The distinct sites, in fractional coordinates, are Ca at (0.000, 0.000, 0.000), Mg at (0.000, 0.000, 0.672) and Sc at (0.000, 0.000, 0.306).

Its offset from the most stable computed form is 73 meV per atom. As for the magnetization: 0.12 μB per atom. The calculation puts the formation energy at 0.065 eV/atom.